No. 1
Cs3NaHg2F8: optimized geometry, GGA-PBE.

a b c (Å): 6.467 6.467 8.699
angles (deg): 90.00 90.00 120.00
Element x y z (fractional)
F  0.163  0.327  0.330
Hg  0.333  0.667  0.194
Na  0.000  0.000  0.500
F  0.673  0.837  0.330
F  0.667  0.333  0.050
Cs  0.667  0.333  0.376
Cs  0.000  0.000  0.000
F  0.837  0.673  0.670
Hg  0.667  0.333  0.806
F  0.163  0.837  0.330
Cs  0.333  0.667  0.624
F  0.333  0.667  0.950
F  0.327  0.163  0.670
F  0.837  0.163  0.670

Density of states at the Fermi level: 0.00 states/eV/cell
Total magnetic moment: 0.0 μB per formula unit
Raw formation energy: -30.2 eV/f.u.
Calculated volume: 315 Å³ per cell

---

No. 2
CsNa4Hg3F12: optimized geometry, GGA-PBE.

a b c (Å): 7.483 7.483 7.483
angles (deg): 109.47 109.47 109.47
Last column: magnetic moment on the atom in μB.
Element x y z (fractional)
Na  0.000  0.500  0.000  0.00
F  0.859  0.680  0.179  0.07
Hg  0.500  0.500  0.000  0.11
Hg  0.500  0.000  0.500  0.11
F  0.499  0.320  0.179  0.07
F  0.501  0.680  0.821  0.07
F  0.680  0.821  0.501  0.07
F  0.680  0.179  0.859  0.07
F  0.821  0.501  0.680  0.07
F  0.821  0.141  0.320  0.07
F  0.320  0.821  0.141  0.07
Cs  0.000  0.000  0.000  0.00
Hg  0.000  0.500  0.500  0.11
Na  0.000  0.000  0.500  0.00
F  0.141  0.320  0.821  0.07
F  0.179  0.859  0.680  0.07
Na  0.500  0.000  0.000  0.00
Na  0.500  0.500  0.500  0.00
F  0.320  0.179  0.499  0.07
F  0.179  0.499  0.320  0.07

Density of states at the Fermi level: 12.27 states/eV/cell
Total magnetic moment: 1.2 μB per formula unit
Raw formation energy: -41.1 eV/f.u.
Calculated volume: 322 Å³ per cell

---

No. 3
Cs3Na2HgF8: optimized geometry, GGA-PBE.

a b c (Å): 6.472 6.472 8.574
angles (deg): 90.00 90.00 120.00
Last column: magnetic moment on the atom in μB.
Element x y z (fractional)
F  0.840  0.680  0.661  0.09
F  0.160  0.840  0.339  0.09
F  0.667  0.333  0.033  0.16
F  0.160  0.320  0.339  0.09
Hg  0.000  0.000  0.500  0.21
F  0.320  0.160  0.661  0.09
Cs  0.667  0.333  0.356  0.00
F  0.333  0.667  0.967  0.16
Cs  0.000  0.000  0.000  0.00
F  0.840  0.160  0.661  0.09
Na  0.667  0.333  0.786  0.00
F  0.680  0.840  0.339  0.09
Na  0.333  0.667  0.214  0.00
Cs  0.333  0.667  0.644  0.00

Density of states at the Fermi level: 14.59 states/eV/cell
Total magnetic moment: 1.1 μB per formula unit
Raw formation energy: -31.5 eV/f.u.
Calculated volume: 311 Å³ per cell

---

No. 4
Cs2NaHgF: optimized geometry, GGA-PBE.

a b c (Å): 5.775 5.775 6.729
angles (deg): 90.00 90.00 90.00
Element x y z (fractional)
F  0.000  0.000  0.000
Na  0.500  0.500  0.500
Hg  0.000  0.000  0.500
Cs  0.000  0.500  0.000
Cs  0.500  0.000  0.000

Density of states at the Fermi level: 0.21 states/eV/cell
Total magnetic moment: 0.0 μB per formula unit
Raw formation energy: -5.0 eV/f.u.
Calculated volume: 224 Å³ per cell
E above lowest polymorph: 0.046 eV/atom

---

No. 5
Cs2NaHg2F7: optimized geometry, GGA-PBE.

a b c (Å): 4.639 4.639 12.438
angles (deg): 76.50 76.50 92.91
Element x y z (fractional)
F  0.028  0.445  0.830
F  0.555  0.972  0.170
F  0.328  0.328  0.381
F  0.445  0.028  0.830
Cs  0.150  0.150  0.638
F  0.500  0.500  0.000
Na  0.000  0.000  0.000
Hg  0.547  0.547  0.814
Hg  0.453  0.453  0.186
F  0.672  0.672  0.619
Cs  0.850  0.850  0.362
F  0.972  0.555  0.170

Total magnetic moment: 0.0 μB per formula unit
Raw formation energy: -24.5 eV/f.u.
Calculated volume: 252 Å³ per cell

---

No. 6
CsNaHgF4: optimized geometry, GGA-PBE.

a b c (Å): 6.829 6.030 7.970
angles (deg): 90.00 110.42 90.00
Element x y z (fractional)
F  0.989  0.480  0.688
Hg  0.716  0.250  0.638
F  0.414  0.250  0.423
F  0.011  0.980  0.312
F  0.989  0.020  0.688
Na  0.143  0.250  0.525
F  0.011  0.520  0.312
Na  0.857  0.750  0.475
Cs  0.274  0.250  0.036
F  0.453  0.750  0.167
Cs  0.726  0.750  0.964
F  0.586  0.750  0.577
Hg  0.284  0.750  0.362
F  0.547  0.250  0.833

Density of states at the Fermi level: 0.00 states/eV/cell
Total magnetic moment: 0.0 μB per formula unit
Raw formation energy: -14.9 eV/f.u.
Calculated volume: 308 Å³ per cell

---

No. 7
CsNaHg2F8: optimized geometry, GGA-PBE.

a b c (Å): 4.605 5.636 9.124
angles (deg): 84.97 90.21 84.12
Last column: magnetic moment on the atom in μB.
Element x y z (fractional)
F  0.110  0.736  0.814  0.17
Hg  0.516  0.504  0.202  0.29
F  0.439  0.310  0.400  0.18
Hg  0.484  0.496  0.798  0.29
F  0.890  0.264  0.186  0.17
F  0.561  0.690  0.600  0.18
F  0.849  0.249  0.777  0.16
F  0.616  0.731  0.017  0.15
Na  0.000  0.000  0.000  0.00
F  0.384  0.269  0.983  0.15
F  0.151  0.751  0.223  0.16
Cs  0.000  0.000  0.500  0.01

Density of states at the Fermi level: 0.45 states/eV/cell
Total magnetic moment: 2.0 μB per formula unit
Raw formation energy: -20.5 eV/f.u.
Calculated volume: 235 Å³ per cell

---

No. 8
CsNdHg2F8: optimized geometry, GGA-PBE.

a b c (Å): 5.833 5.833 9.320
angles (deg): 90.00 90.00 120.00
Element x y z (fractional)
Nd  0.000  0.000  0.500
Hg  0.333  0.667  0.781
Hg  0.667  0.333  0.219
F  0.316  0.285  0.343
F  0.667  0.333  0.993
F  0.715  0.030  0.343
F  0.970  0.684  0.343
F  0.684  0.715  0.657
F  0.285  0.970  0.657
F  0.333  0.667  0.007
Cs  0.000  0.000  0.000
F  0.030  0.316  0.657

Density of states at the Fermi level: 0.00 states/eV/cell
Total magnetic moment: 0.1 μB per formula unit
Raw formation energy: -29.0 eV/f.u.
Calculated volume: 275 Å³ per cell